VASP calculation (GGA-PBE) on Sr2InSn2 after structural relaxation.

POSCAR file:
```
Sr2InSn2
1.0
6.249 -2.493 0.000
6.249 2.493 0.000
-5.104 0.000 10.500
Sr In Sn
4 2 4
Cartesian
-0.823 0.000 1.836
-0.845 0.000 6.362
8.239 0.000 4.138
8.217 0.000 8.664
2.983 0.000 1.629
4.411 0.000 8.871
-0.326 0.000 9.712
2.688 0.000 6.367
4.706 0.000 4.132
7.720 0.000 0.788
```

## Properties
Relative energy among the computed polymorphs, eV/atom: 0.000
E_form, eV/atom: -0.5527
Mass density, g cm⁻³: 5.4

---

VASP calculation (GGA-PBE) on La6SnSe3S2 after structural relaxation.

POSCAR file:
```
La6SnSe3S2
1.0
9.446 -2.163 0.000
9.446 2.163 0.000
-2.042 0.000 8.435
La Sn Se S
6 1 3 2
Cartesian
-0.438 0.000 2.200
5.360 0.000 3.583
4.384 0.000 7.625
12.465 0.000 0.810
11.490 0.000 4.853
17.288 0.000 6.235
9.446 0.000 0.000
1.405 0.000 7.008
8.425 0.000 4.218
15.445 0.000 1.427
2.504 0.000 2.837
14.346 0.000 5.599
```

## Properties
Formation energy from raw total energies, eV/atom: -1.8243
Mass density, g cm⁻³: 6.0

---

VASP calculation (GGA-PBE) on TeSeCl after structural relaxation.

POSCAR file:
```
TeSeCl
1.0
4.210 -1.906 0.000
4.210 1.906 0.000
-0.469 0.000 6.157
Te Se Cl
1 1 1
Cartesian
0.000 0.000 0.000
5.357 0.000 1.432
2.557 0.000 4.497
```

## Properties
Relative energy among the computed polymorphs, eV/atom: 0.043
Formation energy from raw total energies, eV/atom: -0.2075
Mass density, g cm⁻³: 4.1

---

VASP calculation (GGA-PBE) on Hf2MgVH after structural relaxation.

POSCAR file:
```
Hf2MgVH
1.0
4.518 0.000 0.000
0.000 4.518 0.000
0.000 0.000 3.875
Hf Mg V H
2 1 1 1
Cartesian
0.000 2.259 0.000
2.259 0.000 0.000
0.000 0.000 1.938
2.259 2.259 1.938
2.259 2.259 0.000
```

## Properties
Mass density, g cm⁻³: 9.1
DFT total energy, eV per cell: -33.77